CsVO2F: relaxed, GGA+U.

Unit cell a=4.5378 b=4.5378 c=5.0727 alpha=90.00 beta=90.00 gamma=90.00
Space group P4/mmm (No. 123)
One atom of each set of equivalent atoms:
Cs1 0.0000 0.0000 0.0000 (multiplicity 1)
V1 0.5000 0.5000 0.5000 (multiplicity 1)
O1 0.0000 0.5000 0.0000 (multiplicity 2)
F1 0.0000 0.0000 0.5000 (multiplicity 1)

Computed properties:
The electronic total energy comes out at -3.523 eV/atom. For the total magnetization, the calculation gives 1.76 μB per formula unit.